# 1
Entry from Alexandria: Yb2TlSn after structural relaxation (PBE).

Lattice parameters (Å, degrees): 5.4257 5.4257 5.4257 60.00 60.00 60.00
Atoms (fractional coordinates):
Yb  0.5000  0.5000  0.5000
Yb  0.0000  0.0000  0.0000
Sn  0.2500  0.2500  0.2500
Tl  0.7500  0.7500  0.7500

Summary:
- Space group: Fm-3m
- Energy of formation: -582 meV per atom

# 2
Entry from Alexandria: LaHgBiF2 after structural relaxation (PBE).

Lattice parameters (Å, degrees): 4.5441 7.2842 4.5441 90.00 90.00 90.00
Atoms (fractional coordinates):
La  0.0000  0.5000  0.0000
Bi  0.5000  0.5000  0.5000
F  0.5000  0.0000  0.0000
F  0.0000  0.0000  0.5000
Hg  0.0000  0.0000  0.0000

Summary:
- Space group: P4/mmm
- ΔE_f (raw): -911 meV per atom
- Offset from the most stable computed form: 1300 meV per atom

# 3
Entry from Alexandria: NaPu2SeO8 after structural relaxation (PBE).

Lattice parameters (Å, degrees): 4.8920 4.8914 6.8317 90.00 90.00 88.08
Atoms (fractional coordinates):
O  0.2949  0.2950  0.0000
O  0.7978  0.2022  0.2204
O  0.7977  0.2022  0.7796
O  0.2023  0.7978  0.2204
O  0.6749  0.6749  0.5000
O  0.2022  0.7978  0.7796
O  0.7051  0.7050  0.0000
O  0.3251  0.3251  0.5000
Pu  0.5000  0.5000  0.2487
Pu  0.5000  0.5000  0.7513
Se  0.0000  0.0000  0.0000
Na  0.0000  0.0000  0.5000

Summary:
- Space group: Cmmm
- ΔE_f (raw): -1928 meV per atom

# 4
Entry from Alexandria: Ho3GaRh after structural relaxation (PBE).

Lattice parameters (Å, degrees): 4.5235 6.7610 8.2625 90.00 90.00 90.00
Atoms (fractional coordinates):
Ho  0.2500  0.0026  0.3349
Ho  0.7500  0.9974  0.6651
Ho  0.2500  0.2500  0.9462
Ho  0.2500  0.4974  0.3349
Ho  0.7500  0.7500  0.0538
Ho  0.7500  0.5026  0.6651
Ga  0.7500  0.2500  0.1742
Ga  0.2500  0.7500  0.8258
Rh  0.2500  0.2500  0.6094
Rh  0.7500  0.7500  0.3906

Summary:
- Space group: Pmmn
- Energy of formation: -562 meV per atom

# 5
Entry from Alexandria: LaTlAsIr2 after structural relaxation (PBE).

Lattice parameters (Å, degrees): 4.9519 5.8644 4.9519 90.00 90.00 90.00
Atoms (fractional coordinates):
As  0.5000  0.5000  0.5000
Ir  0.5000  0.0000  0.0000
Ir  0.0000  0.0000  0.5000
Tl  0.0000  0.0000  0.0000
La  0.0000  0.5000  0.0000

Summary:
- Space group: P4/mmm
- Energy of formation: 1306 meV per atom

# 6
Entry from Alexandria: Sr2SbPb after structural relaxation (PBE).

Lattice parameters (Å, degrees): 8.9277 5.4198 4.5930 89.90 59.18 127.34
Atoms (fractional coordinates):
Sr  0.0000  0.0000  0.0000
Sr  0.5000  0.0000  0.5000
Sb  0.5000  0.5000  0.0000
Pb  0.0000  0.5000  0.5000

Summary:
- Space group: C2/m
- ΔE_f (raw): -681 meV per atom
- Offset from the most stable computed form: 11 meV per atom

What is the formula in the second record? LaHgBiF2